A plane-wave DFT calculation with PBE-GGA was carried out for a relaxed structure of Ta2MnAu.

## Properties
Mass density (Mg/m³): 15.31
Total energy (eV/atom): -8.914
Energy of formation (kJ per mole of atoms): 12.0

a = 3.9798 Å, b = 3.9798 Å, c = 8.4064 Å
α = 90.00°, β = 90.00°, γ = 90.00°
Last column: nearest neighbours and their distance in Å.
Space group I-4m2 (No. 119)
Symmetry-distinct sites (fractional):
Ta: 0.0000 0.0000 0.0000 (multiplicity 2)  4 Mn 2.81, 4 Ta 2.89, 4 Au 2.89
Ta: 0.0000 0.5000 0.2500 (multiplicity 2)  4 Au 2.81, 4 Ta 2.89, 4 Mn 2.89
Mn: 0.0000 0.0000 0.5000 (multiplicity 2)  8 Ta 2.81-2.89, 4 Au 2.89
Au: 0.0000 0.5000 0.7500 (multiplicity 2)  8 Ta 2.81-2.89, 4 Mn 2.89

A plane-wave DFT calculation with PBE-GGA was carried out for a relaxed structure of Ta2MnAu.

## Properties
Mass density (Mg/m³): 15.35
Total energy (eV/atom): -8.975
Energy of formation (kJ per mole of atoms): 6.1

a = 2.9895 Å, b = 4.3311 Å, c = 5.2220 Å
α = 90.00°, β = 100.77°, γ = 90.00°
Last column: nearest neighbours and their distance in Å.
Space group Pm (No. 6)
Symmetry-distinct sites (fractional):
Ta: 0.0000 0.0000 0.0000 (multiplicity 1)  1 Mn 2.38
Ta: 0.2429 0.5000 0.6559 (multiplicity 1)  4 Mn 2.59-2.79, 3 Au 2.74-2.82
Mn: 0.6494 0.0000 0.5507 (multiplicity 1)  3 Ta 2.38-2.59
Au: 0.5697 0.5000 0.1992 (multiplicity 1)  7 Ta 2.74-2.83, 2 Mn 2.82, 2 Au 2.99

Question: What is the total energy in the second record?
Answer: -8.975 eV/atom

Repeat the second record exactly.
A plane-wave DFT calculation with PBE-GGA was carried out for a relaxed structure of Ta2MnAu.

## Properties
Mass density (Mg/m³): 15.35
Total energy (eV/atom): -8.975
Energy of formation (kJ per mole of atoms): 6.1

a = 2.9895 Å, b = 4.3311 Å, c = 5.2220 Å
α = 90.00°, β = 100.77°, γ = 90.00°
Last column: nearest neighbours and their distance in Å.
Space group Pm (No. 6)
Symmetry-distinct sites (fractional):
Ta: 0.0000 0.0000 0.0000 (multiplicity 1)  1 Mn 2.38
Ta: 0.2429 0.5000 0.6559 (multiplicity 1)  4 Mn 2.59-2.79, 3 Au 2.74-2.82
Mn: 0.6494 0.0000 0.5507 (multiplicity 1)  3 Ta 2.38-2.59
Au: 0.5697 0.5000 0.1992 (multiplicity 1)  7 Ta 2.74-2.83, 2 Mn 2.82, 2 Au 2.99

Copy entry 2 word for word.
A plane-wave DFT calculation with PBE-GGA was carried out for a relaxed structure of Ta2MnAu.

## Properties
Mass density (Mg/m³): 15.35
Total energy (eV/atom): -8.975
Energy of formation (kJ per mole of atoms): 6.1

a = 2.9895 Å, b = 4.3311 Å, c = 5.2220 Å
α = 90.00°, β = 100.77°, γ = 90.00°
Last column: nearest neighbours and their distance in Å.
Space group Pm (No. 6)
Symmetry-distinct sites (fractional):
Ta: 0.0000 0.0000 0.0000 (multiplicity 1)  1 Mn 2.38
Ta: 0.2429 0.5000 0.6559 (multiplicity 1)  4 Mn 2.59-2.79, 3 Au 2.74-2.82
Mn: 0.6494 0.0000 0.5507 (multiplicity 1)  3 Ta 2.38-2.59
Au: 0.5697 0.5000 0.1992 (multiplicity 1)  7 Ta 2.74-2.83, 2 Mn 2.82, 2 Au 2.99

Question: The highest energy of formation belongs to which entry?
Answer: number 1